Zr6CoNi5 | PBE | optimized geometry

```
Zr6CoNi5
1.0
4.581 0.000 0.000
-0.026 6.554 0.000
-2.264 -3.270 6.613
Zr Co Ni
6 1 5
Cartesian
-0.054 1.621 0.166
-0.092 -1.656 4.479
0.000 1.642 4.322
2.290 1.642 2.291
2.383 4.940 2.134
2.345 1.663 6.448
2.290 0.000 0.000
0.186 3.493 2.150
0.201 -0.209 2.171
2.277 3.277 0.000
2.090 3.493 4.442
2.105 -0.209 4.464
```

## Properties
The energy of formation from the pure elements comes out at -0.3418 eV per atom.


TaBeB | PBE | optimized geometry

```
TaBeB
1.0
5.247 0.000 0.000
0.703 5.253 0.000
0.828 2.360 4.965
Ta Be B
4 4 4
Cartesian
0.000 0.000 0.000
1.296 4.970 4.599
3.322 4.619 0.263
4.723 1.470 2.433
2.857 6.446 3.107
2.830 3.472 2.827
3.166 1.953 0.456
5.363 4.085 2.222
1.839 5.052 2.131
1.536 1.266 1.296
4.247 5.143 3.726
4.530 3.443 3.774
```

## Properties
As for the polymorph energy (0 for the lowest one): 633 meV per atom. The energy of formation from the pure elements comes out at -0.0528 eV per atom.


Ti3SiH | PBE | optimized geometry

```
Ti3SiH
1.0
2.890 0.000 0.000
1.019 6.368 0.000
0.743 0.181 7.304
Ti Si H
6 2 2
Cartesian
1.093 2.863 2.099
1.833 1.662 6.904
2.121 5.355 3.026
2.531 1.194 4.278
2.818 4.886 0.400
3.558 3.685 5.205
2.088 5.862 5.630
2.564 0.687 1.674
1.069 2.343 3.920
3.583 4.205 3.384
```

## Properties
As for the polymorph energy (0 for the lowest one): 113 meV per atom.


PSeBr2 | PBE | optimized geometry

```
PSeBr2
1.0
10.424 0.000 0.000
0.000 10.424 0.000
0.000 0.000 4.802
P Se Br
4 4 8
Cartesian
0.000 2.606 1.801
0.000 7.818 3.001
5.212 2.606 0.600
5.212 7.818 4.202
0.000 2.606 4.202
0.000 7.818 0.600
5.212 2.606 3.001
5.212 7.818 1.801
0.000 0.000 2.401
0.000 5.212 2.401
2.606 2.606 1.200
2.606 7.818 3.601
5.212 0.000 0.000
5.212 5.212 0.000
7.818 2.606 1.200
7.818 7.818 3.601
```

## Properties
As for the polymorph energy (0 for the lowest one): 349 meV per atom. Its uncorrected formation energy is 291 meV/atom.


Pm3Mg2Si3 | PBE | optimized geometry

```
Pm3Mg2Si3
1.0
4.005 0.000 0.000
0.000 4.420 0.000
0.000 0.000 21.396
Pm Mg Si
6 4 6
Cartesian
0.000 0.000 0.000
0.000 2.210 2.651
0.000 2.210 18.745
2.003 0.000 8.047
2.003 0.000 13.349
2.003 2.210 10.698
0.000 0.000 5.361
0.000 0.000 16.035
2.003 2.210 5.337
2.003 2.210 16.059
0.000 0.000 10.698
0.000 2.210 7.233
0.000 2.210 14.163
2.003 0.000 3.465
2.003 0.000 17.931
2.003 2.210 0.000
```

## Properties
Its uncorrected formation energy is -367 meV/atom.


BaNa2NbO | PBE | optimized geometry

```
BaNa2NbO
1.0
5.973 0.000 0.000
0.000 5.973 0.000
0.000 0.000 4.029
Ba Na Nb O
1 2 1 1
Cartesian
0.000 0.000 0.000
0.000 2.986 2.015
2.986 0.000 2.015
2.986 2.986 0.000
2.986 2.986 2.015
```

## Properties
Its uncorrected formation energy is -189 meV/atom.


Pm4Nd15Mg | PBE | optimized geometry

```
Pm4Nd15Mg
1.0
5.165 0.000 0.000
0.000 5.165 0.000
0.000 0.000 25.880
Pm Nd Mg
4 15 1
Cartesian
0.000 0.000 2.613
0.000 0.000 7.849
0.000 0.000 18.031
0.000 0.000 23.267
0.000 2.582 0.000
0.000 2.582 5.229
0.000 2.582 10.428
0.000 2.582 15.452
0.000 2.582 20.651
2.582 0.000 0.000
2.582 0.000 5.229
2.582 0.000 10.428
2.582 0.000 15.452
2.582 0.000 20.651
2.582 2.582 2.626
2.582 2.582 7.867
2.582 2.582 12.940
2.582 2.582 18.013
2.582 2.582 23.254
0.000 0.000 12.940
```

## Properties
The energy of formation from the pure elements comes out at 0.0102 eV per atom.


RbSiB | PBE | optimized geometry

```
RbSiB
1.0
3.548 0.000 0.000
-1.774 3.072 0.000
0.000 0.000 11.363
Rb Si B
2 2 2
Cartesian
0.000 0.000 0.000
0.000 0.000 5.682
0.000 2.048 2.841
1.774 1.024 8.523
0.000 2.048 8.523
1.774 1.024 2.841
```

## Properties
Its uncorrected formation energy is 171 meV/atom.


Number 1: total DFT energy (no corrections) -7.62 eV per atom. Number 2: total DFT energy (no corrections) -7.47 eV per atom. Number 3: total DFT energy (no corrections) -6.88 eV per atom. Number 4: total DFT energy (no corrections) -2.77 eV per atom. Number 5: total DFT energy (no corrections) -4.58 eV per atom. Number 6: total DFT energy (no corrections) -4.11 eV per atom. Number 7: total DFT energy (no corrections) -4.60 eV per atom. Number 8: total DFT energy (no corrections) -4.18 eV per atom.